Density functional theory data (PBEsol) for a geometry-optimized NdHf2F11 structure.

Values from the calculation:
final energy	-7.32	eV/atom
uncorrected formation energy	-3936.4	meV per atom
density	5.688	Mg/m³
crystal system	orthorhombic

a = 7.688 Å, b = 8.302 Å, c = 8.302 Å
α = 73.58°, β = 62.42°, γ = 62.42°
Element x y z (fractional)
F1 0.606 0.206 0.053
Nd1 0.250 0.250 0.250
F2 0.966 0.821 0.452
F3 0.106 0.553 0.706
Hf1 0.634 0.681 0.319
F4 0.630 0.281 0.719
F5 0.739 0.679 0.048
F6 0.394 0.794 0.947
Nd2 0.750 0.750 0.750
F7 0.130 0.219 0.781
F8 0.761 0.452 0.821
F9 0.500 0.500 0.500
F10 0.534 0.048 0.679
F11 0.865 0.947 0.794
F12 0.635 0.706 0.553
F13 0.034 0.179 0.548
F14 0.894 0.447 0.294
Hf2 0.866 0.181 0.819
Hf3 0.134 0.819 0.181
F15 0.239 0.548 0.179
F16 0.365 0.294 0.447
Hf4 0.366 0.319 0.681
F17 0.370 0.719 0.281
F18 0.261 0.321 0.952
F19 0.870 0.781 0.219
F20 0.135 0.053 0.206
F21 0.466 0.952 0.321
F22 0.000 0.000 0.000